Entry from Alexandria: an optimized crystal structure of MgV2BiO8 (GGA+U).

Properties
Total DFT energy (no corrections) in eV per formula unit: -80.925
Space-group type: P-3m1

Unit cell a=5.764 b=5.764 c=6.119 alpha=90.00 beta=90.00 gamma=120.00
Fractional positions:
O 0.320 0.160 0.274
O 0.160 0.840 0.726
O 0.840 0.160 0.274
Mg 0.000 0.000 0.500
V 0.333 0.667 0.803
O 0.840 0.680 0.274
V 0.667 0.333 0.197
O 0.160 0.320 0.726
Bi 0.000 0.000 0.000
O 0.667 0.333 0.929
O 0.333 0.667 0.071
O 0.680 0.840 0.726